(1)
Ho2Er7Th2 GGA-PBE relaxed; energy above the most stable polymorph in this dataset = 0.0 meV per atom; Fermi-level density of states = 1.55 states/eV per atom
1.0
-5.187 2.443 -1.995
-4.288 -5.993 -2.888
-4.712 0.629 6.327
Ho Er Th
2 7 2
direct
0.500 0.215 0.785
0.500 0.785 0.215
0.173 0.064 0.588
0.827 0.412 0.936
0.827 0.936 0.412
0.173 0.588 0.064
0.000 0.000 0.000
0.579 0.763 0.763
0.421 0.237 0.237
0.807 0.415 0.415
0.193 0.585 0.585

(2)
Ho6Er3Th GGA-PBE relaxed; energy above the most stable polymorph in this dataset = 150.0 meV per atom; Fermi-level density of states = 1.85 states/eV per atom
1.0
-0.233 -4.309 8.719
0.170 -9.707 0.635
3.899 -4.594 3.261
Ho Er Th
6 3 1
direct
0.900 0.566 0.300
0.234 0.900 0.300
0.566 0.234 0.300
0.064 0.400 0.800
0.736 0.064 0.800
0.400 0.736 0.800
0.400 0.400 0.801
0.642 0.642 0.074
0.157 0.157 0.528
0.900 0.900 0.300

(3)
Ho6Er5Th2 GGA-PBE relaxed; uncorrected energy = -4.898 eV per atom; Fermi-level density of states = 1.40 states/eV per atom
1.0
3.545 0.000 0.000
0.000 11.507 0.000
0.000 0.000 20.244
Ho Er Th
12 10 4
direct
0.000 0.070 0.357
0.000 0.930 0.643
0.000 0.570 0.143
0.000 0.430 0.857
0.500 0.318 0.124
0.500 0.682 0.876
0.500 0.818 0.376
0.500 0.182 0.624
0.000 0.570 0.431
0.000 0.430 0.569
0.000 0.070 0.069
0.000 0.930 0.931
0.500 0.305 0.432
0.500 0.695 0.568
0.500 0.805 0.068
0.500 0.195 0.932
0.500 0.583 0.287
0.500 0.417 0.713
0.500 0.083 0.213
0.500 0.917 0.787
0.500 0.500 0.000
0.500 0.000 0.500
0.000 0.323 0.271
0.000 0.677 0.729
0.000 0.823 0.229
0.000 0.177 0.771

(4)
Ho3Er3Th2 GGA-PBE relaxed; energy above the most stable polymorph in this dataset = 183.3 meV per atom; Fermi-level density of states = 1.95 states/eV per atom
1.0
-2.216 3.626 4.648
1.017 -4.663 4.109
5.806 2.195 1.069
Ho Er Th
3 3 2
direct
0.249 0.751 0.500
0.500 0.249 0.249
0.751 0.500 0.751
0.250 0.750 0.000
0.000 0.250 0.250
0.750 0.000 0.750
0.251 0.251 0.749
0.749 0.749 0.251

(5)
Ho3Er5Th2 GGA-PBE relaxed; uncorrected energy = -4.918 eV per atom; Fermi-level density of states = 1.51 states/eV per atom
1.0
-3.807 -7.762 2.506
-3.145 -4.057 -7.391
10.769 2.020 1.474
Ho Er Th
6 10 4
direct
0.219 0.969 0.939
0.781 0.031 0.061
0.728 0.478 0.251
0.272 0.522 0.749
0.022 0.772 0.251
0.978 0.228 0.749
0.277 0.527 0.055
0.723 0.473 0.945
0.028 0.778 0.555
0.531 0.281 0.563
0.972 0.222 0.445
0.469 0.719 0.437
0.877 0.621 0.748
0.123 0.379 0.252
0.372 0.127 0.748
0.628 0.873 0.252
0.762 0.012 0.749
0.238 0.988 0.251
0.487 0.737 0.749
0.513 0.263 0.251

(6)
Ho3Er12Th GGA-PBE relaxed; uncorrected energy = -4.718 eV per atom; Fermi-level density of states = 1.39 states/eV per atom
1.0
-0.887 -4.333 2.280
1.804 -2.443 -3.942
18.163 0.496 8.007
Ho Er Th
3 12 1
direct
0.000 0.000 0.250
0.000 0.000 0.500
0.000 0.000 0.750
0.500 0.500 0.000
0.500 0.500 0.251
0.500 0.500 0.500
0.500 0.500 0.749
0.500 0.000 0.124
0.500 0.000 0.375
0.500 0.000 0.625
0.500 0.000 0.876
0.000 0.500 0.124
0.000 0.500 0.375
0.000 0.500 0.625
0.000 0.500 0.876
0.000 0.000 0.000

(7)
Ho12Er2Th5 GGA-PBE relaxed; energy above the most stable polymorph in this dataset = 0.0 meV per atom; Fermi-level density of states = 1.52 states/eV per atom
1.0
5.169 7.536 -0.683
-5.169 7.536 -0.683
0.000 0.480 7.822
Ho Er Th
12 2 5
direct
0.136 0.136 0.109
0.426 0.957 0.796
0.957 0.426 0.796
0.385 0.833 0.390
0.833 0.385 0.390
0.551 0.551 0.706
0.449 0.449 0.294
0.615 0.167 0.610
0.167 0.615 0.610
0.574 0.043 0.204
0.043 0.574 0.204
0.864 0.864 0.891
0.736 0.264 0.000
0.264 0.736 0.000
0.760 0.760 0.513
0.655 0.655 0.084
0.000 0.000 0.500
0.345 0.345 0.916
0.240 0.240 0.487

(8)
HoEr5Th2 GGA-PBE relaxed; energy above the most stable polymorph in this dataset = 216.2 meV per atom; Fermi-level density of states = 1.57 states/eV per atom
1.0
5.263 10.856 10.414
-12.416 -9.262 3.750
-3.010 -0.606 9.815
Ho Er Th
2 10 4
direct
0.767 0.233 0.250
0.233 0.767 0.750
0.651 0.349 0.750
0.349 0.651 0.250
0.287 0.569 0.034
0.925 0.039 0.029
0.569 0.287 0.534
0.961 0.075 0.471
0.039 0.925 0.529
0.075 0.961 0.971
0.431 0.713 0.466
0.713 0.431 0.966
0.500 0.000 0.000
0.500 0.500 0.000
0.500 0.500 0.500
0.000 0.500 0.500

(9)
Ho3Er7Th GGA-PBE relaxed; energy above the most stable polymorph in this dataset = 28.0 meV per atom; Fermi-level density of states = 1.56 states/eV per atom
1.0
-4.261 -3.835 6.368
5.239 -4.544 0.770
0.007 5.976 3.603
Ho Er Th
3 7 1
direct
0.782 0.499 0.501
0.782 0.499 0.998
0.782 0.002 0.501
0.120 0.169 0.831
0.120 0.169 0.339
0.115 0.667 0.333
0.448 0.832 0.168
0.448 0.335 0.168
0.448 0.832 0.665
0.120 0.661 0.831
0.449 0.333 0.667

(10)
HoEr4Th2 GGA-PBE relaxed; energy above the most stable polymorph in this dataset = 72.3 meV per atom; Fermi-level density of states = 1.31 states/eV per atom
1.0
-0.737 4.722 -2.865
-1.285 -4.898 -2.323
-15.455 1.219 5.982
Ho Er Th
2 8 4
direct
0.500 0.000 0.750
0.500 0.000 0.250
0.833 0.667 0.148
0.833 0.667 0.352
0.167 0.333 0.852
0.167 0.333 0.648
0.833 0.666 0.750
0.167 0.334 0.250
0.500 0.000 0.000
0.500 0.000 0.500
0.167 0.333 0.443
0.833 0.667 0.943
0.167 0.333 0.057
0.833 0.667 0.557

(11)
Ho4Er2Th GGA-PBE relaxed; energy above the most stable polymorph in this dataset = 0.0 meV per atom; Fermi-level density of states = 1.72 states/eV per atom
1.0
3.570 0.000 0.000
-1.785 3.079 -0.261
0.000 -0.380 19.966
Ho Th Er
4 1 2
direct
0.906 0.812 0.955
0.428 0.855 0.521
0.001 0.001 0.237
0.524 0.049 0.812
0.809 0.618 0.667
0.620 0.240 0.096
0.714 0.428 0.379

(12)
Ho8Er3Th4 GGA-PBE relaxed; uncorrected energy = -4.891 eV per atom; Fermi-level density of states = 1.97 states/eV per atom
1.0
-5.721 9.157 4.268
-0.517 -8.863 2.596
9.122 -1.168 -0.994
Ho Er Th
8 3 4
direct
0.495 0.239 0.239
0.000 0.638 0.362
0.013 0.275 0.275
0.500 0.748 0.252
0.500 0.252 0.748
0.987 0.725 0.725
0.000 0.362 0.638
0.505 0.761 0.761
0.500 0.500 0.000
0.500 0.000 0.500
0.500 0.500 0.500
0.500 0.000 0.000
0.000 0.500 0.000
0.000 0.000 0.000
0.000 0.000 0.500

(13)
Ho12Er5Th2 GGA-PBE relaxed; energy above the most stable polymorph in this dataset = 0.0 meV per atom; Fermi-level density of states = 1.44 states/eV per atom
1.0
6.115 0.246 -0.254
-2.673 8.219 -7.045
-0.371 -2.185 13.475
Ho Er Th
12 5 2
direct
0.050 0.208 0.393
0.211 0.844 0.079
0.685 0.738 0.132
0.104 0.417 0.287
0.631 0.527 0.237
0.473 0.895 0.551
0.527 0.105 0.449
0.896 0.583 0.713
0.369 0.473 0.763
0.789 0.156 0.921
0.315 0.262 0.868
0.950 0.792 0.607
0.422 0.687 0.661
0.159 0.633 0.185
0.000 0.000 0.500
0.841 0.367 0.815
0.578 0.313 0.339
0.737 0.948 0.025
0.263 0.052 0.975

(14)
Ho3Er2Th3 GGA-PBE relaxed; energy above the most stable polymorph in this dataset = 0.0 meV per atom; Fermi-level density of states = 1.37 states/eV per atom
1.0
-5.509 1.120 2.369
-4.343 -1.382 -4.145
4.654 -6.489 3.391
Ho Er Th
3 2 3
direct
0.877 0.377 0.753
0.123 0.623 0.247
0.000 0.000 0.000
0.749 0.749 0.497
0.251 0.251 0.503
0.377 0.877 0.754
0.500 0.500 0.000
0.623 0.123 0.246

(15)
Ho3Er2Th3 GGA-PBE relaxed; energy above the most stable polymorph in this dataset = 3.6 meV per atom; Fermi-level density of states = 1.30 states/eV per atom
1.0
-2.991 -1.462 3.754
4.007 -0.940 2.827
-0.750 10.631 0.189
Ho Er Th
3 2 3
direct
0.125 0.125 0.250
0.000 0.500 0.000
0.875 0.875 0.750
0.750 0.250 0.500
0.250 0.750 0.500
0.624 0.624 0.249
0.376 0.376 0.751
0.500 0.000 0.000

(16)
Ho5Er2Th4 GGA-PBE relaxed; energy above the most stable polymorph in this dataset = 0.0 meV per atom; Fermi-level density of states = 1.42 states/eV per atom
1.0
3.518 -0.559 -0.040
-2.222 8.850 -1.943
1.846 -0.586 11.643
Ho Er Th
5 2 4
direct
0.958 0.095 0.273
0.042 0.905 0.727
0.587 0.813 0.454
0.500 0.000 0.000
0.413 0.187 0.546
0.870 0.281 0.821
0.130 0.719 0.179
0.770 0.452 0.364
0.317 0.363 0.092
0.230 0.548 0.636
0.683 0.637 0.908

(17)
Ho4Er5Th2 GGA-PBE relaxed; energy above the most stable polymorph in this dataset = 373.8 meV per atom; Fermi-level density of states = 1.68 states/eV per atom
1.0
-1.288 3.160 -0.596
-4.347 -2.812 -5.517
-7.366 -2.577 12.305
Ho Er Th
4 5 2
direct
0.000 0.320 0.000
0.604 0.604 0.208
0.000 0.680 0.000
0.396 0.396 0.792
0.804 0.061 0.607
0.804 0.547 0.607
0.196 0.453 0.393
0.196 0.939 0.393
0.500 0.000 0.000
0.898 0.898 0.796
0.102 0.102 0.204

(18)
Ho2ErTh GGA-PBE relaxed; energy above the most stable polymorph in this dataset = 2.7 meV per atom; Fermi-level density of states = 1.28 states/eV per atom
1.0
3.538 0.000 0.000
0.000 3.538 0.000
0.000 0.000 10.037
Ho Th Er
2 1 1
direct
0.000 0.000 0.746
0.000 0.000 0.254
0.500 0.500 0.500
0.500 0.500 0.000

(19)
Ho3Er8Th2 GGA-PBE relaxed; energy above the most stable polymorph in this dataset = 0.0 meV per atom; Fermi-level density of states = 1.23 states/eV per atom
1.0
11.259 0.513 1.848
-4.988 3.936 -1.532
2.131 -1.094 18.161
Ho Er Th
6 16 4
direct
0.466 0.570 0.262
0.500 0.000 0.500
0.899 0.264 0.756
0.101 0.736 0.244
0.000 0.000 0.000
0.534 0.430 0.738
0.761 0.044 0.115
0.667 0.687 0.430
0.035 0.955 0.762
0.667 0.413 0.888
0.602 0.248 0.255
0.833 0.363 0.388
0.261 0.815 0.385
0.834 0.174 0.930
0.166 0.826 0.070
0.739 0.185 0.615
0.965 0.045 0.238
0.398 0.752 0.745
0.333 0.587 0.112
0.167 0.637 0.612
0.333 0.313 0.570
0.239 0.956 0.885
0.632 0.341 0.079
0.868 0.817 0.579
0.132 0.183 0.421
0.368 0.659 0.921